Record 1
The following is a PBE calculation of crystalline SrVSe2N at its relaxed geometry, from Alexandria.

abc: 5.151 5.151 3.737
angles: 90.00 90.00 90.00
Positions (direct):
Sr 0.000 0.000 0.000
V 0.500 0.500 0.500
Se 0.000 0.500 0.500
Se 0.500 0.000 0.500
N 0.500 0.500 0.000

Its space group is P4/mmm, No. 123. The energy above the most stable polymorph in this dataset is 0.000 eV per atom.

***

Record 2
The following is a PBE calculation of crystalline SrWSeN2 at its relaxed geometry, from Alexandria.

abc: 4.066 4.066 5.176
angles: 90.00 90.00 90.00
Positions (direct):
Sr 0.000 0.000 0.000
W 0.500 0.500 0.500
Se 0.500 0.500 0.000
N 0.000 0.500 0.500
N 0.500 0.000 0.500

Its space group is P4/mmm, No. 123. The energy above the most stable polymorph in this dataset is 0.000 eV per atom.

***

Record 3
The following is a PBE calculation of crystalline SrWSeN2 at its relaxed geometry, from Alexandria.

abc: 4.151 4.151 5.655
angles: 90.00 90.00 90.00
Positions (direct):
Sr 0.000 0.000 0.000
W 0.500 0.500 0.500
Se 0.000 0.000 0.500
N 0.000 0.500 0.000
N 0.500 0.000 0.000

Its space group is P4/mmm, No. 123. The energy above the most stable polymorph in this dataset is 2.944 eV per atom.

***

Record 4
The following is a PBE calculation of crystalline SrYSe2N at its relaxed geometry, from Alexandria.

abc: 5.610 5.610 4.360
angles: 90.00 90.00 90.00
Positions (direct):
Sr 0.000 0.000 0.000
Y 0.500 0.500 0.500
Se 0.000 0.500 0.000
Se 0.500 0.000 0.000
N 0.000 0.000 0.500

Its space group is P4/mmm, No. 123. The energy above the most stable polymorph in this dataset is 0.935 eV per atom.

***

Record 5
The following is a PBE calculation of crystalline SrYSe2N at its relaxed geometry, from Alexandria.

abc: 5.561 5.561 4.474
angles: 90.00 90.00 90.00
Positions (direct):
Sr 0.000 0.000 0.000
Y 0.500 0.500 0.500
Se 0.000 0.500 0.500
Se 0.500 0.000 0.500
N 0.500 0.500 0.000

Its space group is P4/mmm, No. 123. The energy above the most stable polymorph in this dataset is 0.000 eV per atom.

***

Record 6
The following is a PBE calculation of crystalline SrYSeN2 at its relaxed geometry, from Alexandria.

abc: 4.547 4.547 5.639
angles: 90.00 90.00 90.00
Positions (direct):
Sr 0.000 0.000 0.000
Y 0.500 0.500 0.500
Se 0.500 0.500 0.000
N 0.000 0.500 0.500
N 0.500 0.000 0.500

Its space group is P4/mmm, No. 123. The energy above the most stable polymorph in this dataset is 0.000 eV per atom.

***

Record 7
The following is a PBE calculation of crystalline SrYSeN2 at its relaxed geometry, from Alexandria.

abc: 4.337 4.337 5.757
angles: 90.00 90.00 90.00
Positions (direct):
Sr 0.000 0.000 0.000
Y 0.500 0.500 0.500
Se 0.000 0.000 0.500
N 0.000 0.500 0.000
N 0.500 0.000 0.000

Its space group is P4/mmm, No. 123. The energy above the most stable polymorph in this dataset is 0.887 eV per atom.

***

Record 8
The following is a PBE calculation of crystalline SrZnSe2N at its relaxed geometry, from Alexandria.

abc: 5.266 5.266 3.965
angles: 90.00 90.00 90.00
Positions (direct):
Sr 0.000 0.000 0.000
Zn 0.500 0.500 0.500
Se 0.000 0.500 0.500
Se 0.500 0.000 0.500
N 0.500 0.500 0.000

Its space group is P4/mmm, No. 123. The energy above the most stable polymorph in this dataset is 0.000 eV per atom.